# YTlCu (GGA-PBE, relaxed)
data_YTlCu
_chemical_formula_sum 'Y6 Tl6 Cu6'
_symmetry_space_group_name_H-M 'P m m a'
_symmetry_Int_Tables_number 51
_symmetry_space_group_name_Hall '-P 2a 2a'
_cell_length_a 13.365
_cell_length_b 3.933
_cell_length_c 7.598
_cell_angle_alpha 90.00
_cell_angle_beta 90.00
_cell_angle_gamma 90.00
loop_
_atom_site_label
_atom_site_fract_x
_atom_site_fract_y
_atom_site_fract_z
Y1 0.047 0.000 0.229
Y2 0.250 0.000 0.847
Tl1 0.118 0.500 0.574
Tl2 0.250 0.500 0.182
Cu1 0.087 0.500 0.944
Cu2 0.250 0.000 0.439
# DOS(E_F) = 1.7 states/eV/f.u.
# VASP energy = -82.51 eV per cell
# ΔE_f = -0.275 eV per atom